No. 1
The following is a SCAN calculation of a PBEsol-optimized structure of Sr3Sn13Rh4, from Alexandria.

Cell: 9.7600 9.7600 9.7600 Å, 90.00 90.00 90.00°
Space group Pm-3n (No. 223)
Symmetry-distinct sites (fractional):
Sr: 0.0000 0.2500 0.5000 [6 per cell]
Sn: 0.0000 0.0000 0.0000 [2 per cell]
Sn: 0.0000 0.3011 0.1536 [24 per cell]
Rh: 0.2500 0.2500 0.2500 [8 per cell]



No. 2
The following is a SCAN calculation of a PBEsol-optimized structure of AlCd2Cu, from Alexandria.

Cell: 9.1918 3.2003 4.7745 Å, 90.00 100.01 90.00°
Space group C2/m (No. 12)
Symmetry-distinct sites (fractional):
Al: 0.0000 0.0000 0.0000 [2 per cell]
Cd: 0.2445 0.0000 0.7410 [4 per cell]
Cu: 0.0000 0.5000 0.5000 [2 per cell]



Number 1: electronic total energy -34.00 eV per atom, formation energy from the elements -0.554 eV/atom. Number 2: electronic total energy -20.82 eV per atom, formation energy from the elements 0.123 eV/atom.